Record 1
Entry from Alexandria via LeMat-Bulk: an optimized crystal structure of KNb3Zn (PBE-GGA).

Total DFT energy (no corrections): -4.90 eV/atom
Calculated formation energy: 1.61 eV per atom
Distance to the lowest polymorph of the same formula: 0 meV/atom

Cell lengths 4.9506, 4.9506, 4.9506 Å; angles 90.00, 90.00, 90.00 degrees
Closest atoms and distances in Å follow each position.
Positions (direct):
K: 0.5000 0.5000 0.5000  12 Nb 3.50
Nb: 0.5000 0.0000 0.0000  2 Zn 2.48
Nb: 0.0000 0.5000 0.0000  2 Zn 2.48
Nb: 0.0000 0.0000 0.5000  2 Zn 2.48
Zn: 0.0000 0.0000 0.0000  6 Nb 2.48

=====

Record 2
Entry from Alexandria via LeMat-Bulk: an optimized crystal structure of KNb3Zn (PBE-GGA).

Total DFT energy (no corrections): -3.98 eV/atom
Calculated formation energy: 2.53 eV per atom
Distance to the lowest polymorph of the same formula: 920 meV/atom

Cell lengths 4.6130, 4.6130, 4.6130 Å; angles 90.00, 90.00, 90.00 degrees
Closest atoms and distances in Å follow each position.
Positions (direct):
Nb: 0.5000 0.0000 0.0000  2 K 2.31
Nb: 0.0000 0.5000 0.0000  2 K 2.31
Nb: 0.0000 0.0000 0.5000  2 K 2.31
Zn: 0.5000 0.5000 0.5000  12 Nb 3.26
K: 0.0000 0.0000 0.0000  6 Nb 2.31

=====

Record 3
Entry from Alexandria via LeMat-Bulk: an optimized crystal structure of KNbZn (PBE-GGA).

Total DFT energy (no corrections): -3.84 eV/atom
Calculated formation energy: 0.30 eV per atom
Distance to the lowest polymorph of the same formula: 73 meV/atom

Cell lengths 4.4818, 11.7989, 4.4818 Å; angles 90.22, 119.99, 100.74 degrees
Closest atoms and distances in Å follow each position.
Positions (direct):
Nb: 0.6904 0.6858 0.0114  3 Nb 2.59, 6 Zn 2.89
Nb: 0.3571 0.6858 0.3448  3 Nb 2.59, 6 Zn 2.89
K: 0.4810 0.3690 0.9036  3 Zn 3.50, 1 Nb 3.65
K: 0.9001 0.0028 0.1198  3 Zn 3.50, 1 Nb 3.65
Zn: 0.9494 0.5734 0.6398  1 Zn 2.59, 6 Nb 2.89
Zn: 0.0982 0.7983 0.7164  1 Zn 2.59, 6 Nb 2.89

=====

Record 4
Entry from Alexandria via LeMat-Bulk: an optimized crystal structure of KNbZn (PBE-GGA).

Total DFT energy (no corrections): -3.92 eV/atom
Calculated formation energy: 0.23 eV per atom
Distance to the lowest polymorph of the same formula: 0 meV/atom

Cell lengths 3.5091, 3.5098, 13.3677 Å; angles 90.00, 89.57, 90.00 degrees
Closest atoms and distances in Å follow each position.
Positions (direct):
Nb: 0.2481 0.7500 0.5509  5 Zn 2.76-2.85, 4 Nb 2.83
Nb: 0.7519 0.2500 0.4491  5 Zn 2.76-2.85, 4 Nb 2.83
Zn: 0.2555 0.7500 0.3443  5 Nb 2.76-2.85
Zn: 0.7445 0.2500 0.6557  5 Nb 2.76-2.85
K: 0.7578 0.2500 0.1551  4 K 3.51, 4 Zn 3.54-3.55
K: 0.2422 0.7500 0.8449  4 K 3.51, 4 Zn 3.54-3.55

=====

Record 5
Entry from Alexandria via LeMat-Bulk: an optimized crystal structure of KNbZn (PBE-GGA).

Total DFT energy (no corrections): -3.60 eV/atom
Calculated formation energy: 0.55 eV per atom
Distance to the lowest polymorph of the same formula: 322 meV/atom

Cell lengths 6.8143, 5.7557, 6.6668 Å; angles 81.53, 43.41, 99.86 degrees
Closest atoms and distances in Å follow each position.
Positions (direct):
Zn: 0.3875 0.4526 0.6207  2 Zn 2.49-2.50
Zn: 0.8865 0.4491 0.1226  2 Zn 2.49-2.50
Nb: 0.8430 0.9507 0.1251  1 Nb 2.30
Nb: 0.4305 0.9510 0.6180  1 Nb 2.30
K: 0.2886 0.2525 0.2199  3 K 3.13-3.24, 2 Zn 3.49
K: 0.9851 0.6493 0.5230  3 K 3.13-3.24, 2 Zn 3.49-3.50

=====

Record 6
Entry from Alexandria via LeMat-Bulk: an optimized crystal structure of KNbZn (PBE-GGA).

Total DFT energy (no corrections): -3.86 eV/atom
Calculated formation energy: 0.29 eV per atom
Distance to the lowest polymorph of the same formula: 58 meV/atom

Cell lengths 4.1545, 12.4072, 3.6221 Å; angles 89.86, 90.00, 99.41 degrees
Closest atoms and distances in Å follow each position.
Positions (direct):
K: 0.1639 0.8348 0.7461  2 Zn 3.54, 2 K 3.62, 2 Nb 3.75
K: 0.8361 0.1652 0.2539  2 Zn 3.54, 2 K 3.62, 2 Nb 3.75
Zn: 0.9576 0.4135 0.7508  6 Nb 2.76-2.91, 2 Zn 2.79
Zn: 0.0424 0.5865 0.2492  6 Nb 2.76-2.91, 2 Zn 2.79
Nb: 0.5391 0.5796 0.7493  2 Nb 2.66, 6 Zn 2.76-2.91
Nb: 0.4609 0.4204 0.2507  2 Nb 2.66, 6 Zn 2.76-2.91